Arrangement one

Computed, not measured: crystalline HfTa2Ti2 at its relaxed geometry at the GGA-PBE level of DFT.

```
data_HfTa2Ti2
_cell_length_a 7.6043
_cell_length_b 7.6043
_cell_length_c 3.3072
_cell_angle_alpha 90.00
_cell_angle_beta 90.00
_cell_angle_gamma 90.00
_space_group_name_H-M_alt 'P 1'
_space_group_IT_number 1
loop_
_space_group_symop_operation_xyz
'x,y,z'
loop_
_atom_site_label
_atom_site_type_symbol
_atom_site_fract_x
_atom_site_fract_y
_atom_site_fract_z
Hf1 Hf 0.0000 0.0000 0.0000
Hf2 Hf 0.5000 0.5000 0.0000
Ta1 Ta 0.1464 0.3536 0.0000
Ta2 Ta 0.3536 0.8536 0.0000
Ta3 Ta 0.6464 0.1464 0.0000
Ta4 Ta 0.8536 0.6464 0.0000
Ti1 Ti 0.1442 0.6442 0.5000
Ti2 Ti 0.3558 0.1442 0.5000
Ti3 Ti 0.6442 0.8558 0.5000
Ti4 Ti 0.8558 0.3558 0.5000
```

- space group = No. 127

Arrangement two

Computed, not measured: crystalline HfTa2Ti2 at its relaxed geometry at the GGA-PBE level of DFT.

```
data_HfTa2Ti2
_cell_length_a 7.4124
_cell_length_b 7.4124
_cell_length_c 3.4374
_cell_angle_alpha 90.00
_cell_angle_beta 90.00
_cell_angle_gamma 90.00
_space_group_name_H-M_alt 'P 1'
_space_group_IT_number 1
loop_
_space_group_symop_operation_xyz
'x,y,z'
loop_
_atom_site_label
_atom_site_type_symbol
_atom_site_fract_x
_atom_site_fract_y
_atom_site_fract_z
Hf1 Hf 0.0000 0.0000 0.0000
Hf2 Hf 0.5000 0.5000 0.0000
Ta1 Ta 0.1684 0.3316 0.5000
Ta2 Ta 0.3316 0.8316 0.5000
Ta3 Ta 0.6684 0.1684 0.5000
Ta4 Ta 0.8316 0.6684 0.5000
Ti1 Ti 0.1274 0.6274 0.0000
Ti2 Ti 0.3726 0.1274 0.0000
Ti3 Ti 0.6274 0.8726 0.0000
Ti4 Ti 0.8726 0.3726 0.0000
```

- space group = No. 127

What should be chosen as the most stable of them? Choose arrangement two.